Below is a geometry-optimized La3Sm12Al structure, with properties calculated at the PBE-GGA level.

Computed properties:
total moment = 0.000 μB/atom
energy relative to the elements = -7 meV per atom
calculated volume = 529 Å³/cell

Cell lengths 5.062, 5.062, 20.635 Å; angles 90.00, 90.00, 90.00 degrees
Fractional positions:
La: 0.000 0.000 0.000
La: 0.000 0.000 0.255
La: 0.000 0.000 0.745
Sm: 0.000 0.500 0.128
Sm: 0.000 0.500 0.386
Sm: 0.000 0.500 0.614
Sm: 0.000 0.500 0.872
Sm: 0.500 0.000 0.128
Sm: 0.500 0.000 0.386
Sm: 0.500 0.000 0.614
Sm: 0.500 0.000 0.872
Sm: 0.500 0.500 0.000
Sm: 0.500 0.500 0.259
Sm: 0.500 0.500 0.500
Sm: 0.500 0.500 0.741
Al: 0.000 0.000 0.500